LaV2CrIr GGA-PBE relaxed; DFT total energy = -7.11 eV/atom; formation enthalpy at 0 K = 1.2182 eV per atom; density = 6.572 Mg/m³; magnetic moment = 0.97 μB per atom
1.0
4.741 0.000 0.000
0.000 5.452 0.000
0.000 0.000 4.741
Cr V La Ir
1 2 1 1
Direct
0.500 0.500 0.500
0.000 0.000 0.500
0.500 0.000 0.000
0.000 0.500 0.000
0.000 0.000 0.000


LaZrCr2Ir GGA-PBE relaxed; DFT total energy = -7.53 eV/atom; formation enthalpy at 0 K = 0.7820 eV per atom; density = 7.435 Mg/m³; magnetic moment = 1.24 μB per atom
1.0
4.839 0.000 0.000
0.000 5.020 0.000
0.000 0.000 4.839
Cr Zr Ir La
2 1 1 1
Direct
0.500 0.000 0.000
0.000 0.000 0.500
0.000 0.000 0.000
0.000 0.500 0.000
0.500 0.500 0.500


LiCrIr GGA-PBE relaxed; DFT total energy = -6.76 eV/atom; formation enthalpy at 0 K = 0.0387 eV per atom; density = 11.035 Mg/m³; magnetic moment = 0.35 μB per atom
1.0
-0.827 -2.518 -3.084
3.172 2.533 -0.238
1.550 -1.839 1.086
Li Ir Cr
1 1 1
Direct
0.333 0.667 0.684
0.667 0.333 0.321
0.000 0.000 0.994


LiCrIr GGA-PBE relaxed; DFT total energy = -6.75 eV/atom; formation enthalpy at 0 K = 0.0461 eV per atom; density = 10.990 Mg/m³; magnetic moment = 0.00 μB per atom
1.0
-3.201 -1.565 2.290
4.395 -0.474 1.902
-0.382 3.639 1.953
Li Ir Cr
2 2 2
Direct
0.573 0.146 0.744
0.427 0.854 0.256
0.753 0.505 0.231
0.247 0.495 0.769
0.908 0.816 0.707
0.092 0.184 0.293


LiCrIr GGA-PBE relaxed; DFT total energy = -6.74 eV/atom; formation enthalpy at 0 K = 0.0548 eV per atom; density = 11.099 Mg/m³; magnetic moment = 0.00 μB per atom
1.0
-1.580 -0.603 -4.490
-4.105 -1.997 -1.477
1.908 3.162 3.062
Li Ir Cr
1 1 1
Direct
0.334 0.334 0.000
0.660 0.660 0.000
0.006 0.006 0.000


LiCr2Ir GGA-PBE relaxed; DFT total energy = -7.50 eV/atom; formation enthalpy at 0 K = 0.0100 eV per atom; density = 9.968 Mg/m³; magnetic moment = 0.46 μB per atom
1.0
-0.922 4.040 -0.197
-2.821 -0.499 3.001
3.921 -1.204 0.620
Cr Ir Li
2 1 1
Direct
0.250 0.750 0.500
0.000 0.000 0.000
0.500 0.500 0.000
0.750 0.250 0.500


LiCrIr GGA-PBE relaxed; DFT total energy = -6.75 eV/atom; formation enthalpy at 0 K = 0.0522 eV per atom; density = 11.085 Mg/m³; magnetic moment = 0.00 μB per atom
1.0
4.351 -0.009 0.002
1.829 3.948 -0.002
-2.635 -2.684 2.188
Ir Cr Li
1 1 1
Direct
0.333 0.333 0.000
0.998 0.998 0.000
0.669 0.669 0.000


LiCr2Ir GGA-PBE relaxed; DFT total energy = -7.35 eV/atom; formation enthalpy at 0 K = 0.1522 eV per atom; density = 9.459 Mg/m³; magnetic moment = 0.00 μB per atom
1.0
-0.630 -2.027 -1.547
1.809 -0.562 1.820
-6.115 -2.218 5.394
Li Cr Ir
1 2 1
Direct
0.500 0.500 0.748
0.000 0.000 0.029
0.500 0.500 0.234
0.000 0.000 0.488


The highest density belongs to which entry? number 5